VASP calculation (GGA-PBE) on a geometry-optimized Nd2NiP2N6 structure.

Theoretical density   6233 kg/m³
Raw formation energy   -534 meV/atom
Total moment   0.00 Bohr magnetons per cell
Calculated total energy   -82.0 eV/f.u.

Cell lengths 5.417, 5.417, 6.043 Å; angles 63.37, 63.37, 60.00 degrees
Fractional coordinates of all 11 atoms:
Nd1 0.782 0.782 0.655
Nd2 0.218 0.218 0.345
Ni1 0.000 0.000 0.000
P1 0.428 0.428 0.716
P2 0.572 0.572 0.284
N1 0.755 0.755 0.247
N2 0.242 0.755 0.247
N3 0.755 0.242 0.247
N4 0.245 0.758 0.753
N5 0.758 0.245 0.753
N6 0.245 0.245 0.753